Here is an optimized crystal structure of Na2Ac2Tl3 from the Alexandria database. Energies are from PBE-GGA.

a = 3.967 Å, b = 3.843 Å, c = 15.752 Å
α = 90.00°, β = 82.77°, γ = 90.00°
Positions (direct):
Tl 0.146 0.000 0.708
Tl 0.000 0.000 0.000
Tl 0.854 0.000 0.292
Ac 0.574 0.500 0.853
Ac 0.426 0.500 0.147
Na 0.704 0.500 0.593
Na 0.296 0.500 0.407

Computed properties:
The space group is Cmmm, No. 65. As for the crystal system: orthorhombic.

---

Here is an optimized crystal structure of CaNiGe2 from the Alexandria database. Energies are from PBE-GGA.

a = 4.806 Å, b = 4.806 Å, c = 8.574 Å
α = 73.73°, β = 73.73°, γ = 90.00°
Positions (direct):
Ni 0.000 0.000 0.000
Ni 0.750 0.250 0.500
Ca 0.500 0.500 0.000
Ca 0.250 0.750 0.500
Ge 0.375 0.193 0.750
Ge 0.875 0.057 0.750
Ge 0.943 0.625 0.250
Ge 0.807 0.125 0.250

Computed properties:
The space group is I-42d, No. 122. As for the crystal system: tetragonal.

---

Here is an optimized crystal structure of RbSr2RuO6 from the Alexandria database. Energies are from PBE-GGA.

a = 6.115 Å, b = 6.115 Å, c = 6.439 Å
α = 61.65°, β = 61.65°, γ = 60.00°
Site moments in Bohr magnetons follow the coordinates.
Positions (direct):
O 0.002 0.530 0.207  0.06
O 0.666 0.177 0.790  0.03
O 0.530 0.261 0.207  0.06
O 0.367 0.666 0.790  0.03
O 0.177 0.367 0.790  0.03
O 0.261 0.002 0.207  0.06
Sr 0.013 0.013 0.962  0.01
Sr 0.528 0.528 0.417  0.01
Ru 0.327 0.327 0.019  0.65
Rb 0.791 0.791 0.628  0.00

Computed properties:
The space group is R3, No. 146. For the formation energy without anion corrections, the calculation gives -1.689 eV/atom. As for the crystal system: trigonal.

---

The following M_tot values (in μB/atom) correspond, in order, to the records above: 0.0000, 0.0000, 0.1045.
The following DFT total energy values (in eV/cell) correspond, in order, to the records above: -19.389, -35.908, -60.249.